Here is a relaxed structure of KP2IrOs from Alexandria via LeMat-Bulk. Energies are from PBE.

```
data_KP2IrOs
_space_group_name_H-M_alt 'P 1'
_space_group_IT_number 1
_space_group_name_Hall 'P 1'
_cell_length_a 4.000
_cell_length_b 4.000
_cell_length_c 7.106
_cell_angle_alpha 106.35
_cell_angle_beta 106.35
_cell_angle_gamma 90.00
loop_
_atom_site_label
_atom_site_type_symbol
_atom_site_fract_x
_atom_site_fract_y
_atom_site_fract_z
P1 P 0.655 0.655 0.311
K1 K 0.000 0.000 0.000
Ir1 Ir 0.750 0.250 0.500
P2 P 0.345 0.345 0.689
Os1 Os 0.250 0.750 0.500
```

Properties
* energy relative to the elements: -53 kJ/mol of atoms
* crystal system: tetragonal
* symmetry: I-4m2
* DOS at the Fermi energy: 1.97 states/eV/cell

=====

Here is a relaxed structure of KRe2IrOs from Alexandria via LeMat-Bulk. Energies are from PBE.

```
data_KRe2IrOs
_space_group_name_H-M_alt 'P 1'
_space_group_IT_number 1
_space_group_name_Hall 'P 1'
_cell_length_a 4.814
_cell_length_b 4.930
_cell_length_c 4.814
_cell_angle_alpha 90.00
_cell_angle_beta 90.00
_cell_angle_gamma 90.00
loop_
_atom_site_label
_atom_site_type_symbol
_atom_site_fract_x
_atom_site_fract_y
_atom_site_fract_z
K1 K 0.500 0.500 0.500
Re1 Re 0.500 0.000 0.000
Ir1 Ir 0.000 0.500 0.000
Os1 Os 0.000 0.000 0.000
Re2 Re 0.000 0.000 0.500
```

Properties
* energy relative to the elements: 183 kJ/mol of atoms
* crystal system: tetragonal
* symmetry: P4/mmm
* DOS at the Fermi energy: 5.42 states/eV/cell

=====

Here is a relaxed structure of KIrOsSe2 from Alexandria via LeMat-Bulk. Energies are from PBE.

```
data_KIrOsSe2
_space_group_name_H-M_alt 'P 1'
_space_group_IT_number 1
_space_group_name_Hall 'P 1'
_cell_length_a 5.137
_cell_length_b 4.817
_cell_length_c 5.137
_cell_angle_alpha 90.00
_cell_angle_beta 90.00
_cell_angle_gamma 90.00
loop_
_atom_site_label
_atom_site_type_symbol
_atom_site_fract_x
_atom_site_fract_y
_atom_site_fract_z
K1 K 0.500 0.500 0.500
Os1 Os 0.000 0.500 0.000
Ir1 Ir 0.000 0.000 0.000
Se1 Se 0.500 0.000 0.000
Se2 Se 0.000 0.000 0.500
```

Properties
* formation energy without anion corrections: 0.799 eV per atom
* crystal system: tetragonal
* symmetry: P4/mmm
* DOS at the Fermi energy: 6.08 states/eV/cell

=====

Here is a relaxed structure of KSnIr2Os from Alexandria via LeMat-Bulk. Energies are from PBE.

```
data_KSnIr2Os
_space_group_name_H-M_alt 'P 1'
_space_group_IT_number 1
_space_group_name_Hall 'P 1'
_cell_length_a 4.776
_cell_length_b 4.748
_cell_length_c 4.776
_cell_angle_alpha 90.00
_cell_angle_beta 90.00
_cell_angle_gamma 90.00
loop_
_atom_site_label
_atom_site_type_symbol
_atom_site_fract_x
_atom_site_fract_y
_atom_site_fract_z
Ir1 Ir 0.500 0.000 0.000
Os1 Os 0.000 0.500 0.000
K1 K 0.000 0.000 0.000
Ir2 Ir 0.000 0.000 0.500
Sn1 Sn 0.500 0.500 0.500
```

Properties
* energy relative to the elements: 294 kJ/mol of atoms
* crystal system: tetragonal
* symmetry: P4/mmm
* DOS at the Fermi energy: 6.72 states/eV/cell

=====

Here is a relaxed structure of KTaIrOs2 from Alexandria via LeMat-Bulk. Energies are from PBE.

```
data_KTaIrOs2
_space_group_name_H-M_alt 'P 1'
_space_group_IT_number 1
_space_group_name_Hall 'P 1'
_cell_length_a 4.872
_cell_length_b 4.867
_cell_length_c 4.872
_cell_angle_alpha 90.00
_cell_angle_beta 90.00
_cell_angle_gamma 90.00
loop_
_atom_site_label
_atom_site_type_symbol
_atom_site_fract_x
_atom_site_fract_y
_atom_site_fract_z
Ta1 Ta 0.000 0.500 0.000
K1 K 0.500 0.500 0.500
Ir1 Ir 0.000 0.000 0.000
Os1 Os 0.000 0.000 0.500
Os2 Os 0.500 0.000 0.000
```

Properties
* energy relative to the elements: 171 kJ/mol of atoms
* crystal system: tetragonal
* symmetry: P4/mmm
* DOS at the Fermi energy: 5.92 states/eV/cell

=====

Here is a relaxed structure of KP2Ir from Alexandria via LeMat-Bulk. Energies are from PBE.

```
data_KP2Ir
_space_group_name_H-M_alt 'P 1'
_space_group_IT_number 1
_space_group_name_Hall 'P 1'
_cell_length_a 5.011
_cell_length_b 5.011
_cell_length_c 2.918
_cell_angle_alpha 90.00
_cell_angle_beta 90.00
_cell_angle_gamma 110.98
loop_
_atom_site_label
_atom_site_type_symbol
_atom_site_fract_x
_atom_site_fract_y
_atom_site_fract_z
P1 P 0.000 0.000 0.000
K1 K 0.000 0.500 0.500
Ir1 Ir 0.500 0.000 0.500
P2 P 0.500 0.500 0.000
```

Properties
* energy relative to the elements: 72 kJ/mol of atoms
* E above lowest polymorph: 1118.9 meV per atom
* crystal system: orthorhombic
* symmetry: Cmmm
* DOS at the Fermi energy: 1.30 states/eV/cell

=====

Here is a relaxed structure of K2PIr from Alexandria via LeMat-Bulk. Energies are from PBE.

```
data_K2PIr
_space_group_name_H-M_alt 'P 1'
_space_group_IT_number 1
_space_group_name_Hall 'P 1'
_cell_length_a 2.836
_cell_length_b 2.836
_cell_length_c 10.475
_cell_angle_alpha 90.00
_cell_angle_beta 90.00
_cell_angle_gamma 90.00
loop_
_atom_site_label
_atom_site_type_symbol
_atom_site_fract_x
_atom_site_fract_y
_atom_site_fract_z
K1 K 0.000 0.000 0.492
K2 K 0.000 0.000 0.008
P1 P 0.500 0.500 0.250
Ir1 Ir 0.500 0.500 0.750
```

Properties
* energy relative to the elements: 55 kJ/mol of atoms
* crystal system: tetragonal
* symmetry: P4/mmm
* DOS at the Fermi energy: 3.60 states/eV/cell

=====

Here is a relaxed structure of K2PIr from Alexandria via LeMat-Bulk. Energies are from PBE.

```
data_K2PIr
_space_group_name_H-M_alt 'P 1'
_space_group_IT_number 1
_space_group_name_Hall 'P 1'
_cell_length_a 5.137
_cell_length_b 5.137
_cell_length_c 4.496
_cell_angle_alpha 90.00
_cell_angle_beta 90.00
_cell_angle_gamma 123.07
loop_
_atom_site_label
_atom_site_type_symbol
_atom_site_fract_x
_atom_site_fract_y
_atom_site_fract_z
K1 K 0.000 0.000 0.000
Ir1 Ir 0.000 0.500 0.500
P1 P 0.500 0.000 0.500
K2 K 0.500 0.500 0.000
```

Properties
* energy relative to the elements: 46 kJ/mol of atoms
* crystal system: orthorhombic
* symmetry: Cmmm
* DOS at the Fermi energy: 2.06 states/eV/cell

=====

The highest DOS at the Fermi energy belongs to which entry? KSnIr2Os